Below is a PBEsol-optimized structure of LiVBO3, with properties calculated at the SCAN level.

Structure (POSCAR):
```
LiVBO3
1.0
7.9453 0.0000 0.0000
-3.9727 6.8809 0.0000
0.0000 0.0000 3.1605
Li V B O
3 3 3 9
Direct
0.0335 0.7415 0.0000
0.2585 0.2920 0.0000
0.7080 0.9665 0.0000
0.4037 0.0264 0.5000
0.6228 0.5963 0.5000
0.9736 0.3772 0.5000
0.0000 0.0000 0.5000
0.3333 0.6667 0.0000
0.6667 0.3333 0.0000
0.0916 0.2013 0.5000
0.1097 0.9084 0.5000
0.1328 0.5570 0.0000
0.4242 0.8672 0.0000
0.4430 0.5758 0.0000
0.4632 0.2259 0.0000
0.7627 0.5368 0.0000
0.7741 0.2373 0.0000
0.7987 0.8903 0.5000
```

=====

Below is a PBEsol-optimized structure of LiVBO3, with properties calculated at the SCAN level.

Structure (POSCAR):
```
LiVBO3
1.0
4.3875 0.0000 0.0000
-2.0922 4.7039 0.0000
-1.7937 -1.7202 5.4970
Li V B O
2 2 2 6
Direct
0.0527 0.1232 0.3366
0.9473 0.8768 0.6634
0.2935 0.7358 0.2516
0.7065 0.2642 0.7484
0.2920 0.6062 0.7482
0.7080 0.3938 0.2518
0.1288 0.7015 0.8840
0.2218 0.3097 0.7093
0.4657 0.7962 0.6341
0.5343 0.2038 0.3659
0.7782 0.6903 0.2907
0.8712 0.2985 0.1160
```

=====

| no. | E above lowest polymorph (meV/atom) | volume (Å³/atom) | total energy (Ha/atom) |
| --- | --- | --- | --- |
| 1 | 0 | 9.599 | -0.3702 |
| 2 | 9 | 9.454 | -0.3699 |